{"formula": "Ca4PrIn5", "functional": "GGA-PBE", "state": "relaxed", "lattice": [[3.8889, 0.0000, 0.0000], [0.0000, 3.8889, 0.0000], [0.0000, 0.0000, 19.0899]], "species": ["Ca", "Ca", "Ca", "Ca", "Pr", "In", "In", "In", "In", "In"], "fractional_positions": [[0.0000, 0.0000, 0.0993], [0.0000, 0.0000, 0.2963], [0.0000, 0.0000, 0.7037], [0.0000, 0.0000, 0.9007], [0.0000, 0.0000, 0.5000], [0.5000, 0.5000, 0.0000], [0.5000, 0.5000, 0.1984], [0.5000, 0.5000, 0.3962], [0.5000, 0.5000, 0.6038], [0.5000, 0.5000, 0.8016]], "formation_energy_ev_per_atom": -0.4728, "final_energy_ev_per_cell": -31.21, "crystal_system": "tetragonal", "dos_ef_per_ev_atom": 0.6174, "spacegroup": "P4/mmm, No. 123", "total_magnetization_mub_per_cell": 0.0}

***

{"formula": "CaPr3In2", "functional": "GGA-PBE", "state": "relaxed", "lattice": [[8.7369, -2.7319, 0.0000], [8.7369, 2.7319, 0.0000], [-0.8144, 0.0000, 8.3335]], "species": ["Ca", "Ca", "Pr", "Pr", "Pr", "Pr", "Pr", "Pr", "In", "In", "In", "In"], "fractional_positions": [[0.1555, 0.1555, 0.2784], [0.8445, 0.8445, 0.7216], [0.0605, 0.0605, 0.8328], [0.3198, 0.3198, 0.0084], [0.3763, 0.3763, 0.4492], [0.6237, 0.6237, 0.5508], [0.6802, 0.6802, 0.9916], [0.9395, 0.9395, 0.1672], [0.2204, 0.2204, 0.6712], [0.4687, 0.4687, 0.8176], [0.5313, 0.5313, 0.1824], [0.7796, 0.7796, 0.3288]], "formation_energy_ev_per_atom": -0.2905, "final_energy_ev_per_cell": -47.12, "crystal_system": "monoclinic", "dos_ef_per_ev_atom": 0.8335, "spacegroup": "C2/m, No. 12", "de_polymorph_mev_per_atom": 96, "total_magnetization_mub_per_cell": 0.0}

***

{"formula": "Ca2PrIn", "functional": "GGA-PBE", "state": "relaxed", "lattice": [[1.8581, 1.0728, 11.5848], [-1.8581, 1.0728, 11.5848], [0.0000, -2.1456, 11.5848]], "species": ["Ca", "Ca", "Pr", "In"], "fractional_positions": [[0.0000, 0.0000, 0.0000], [0.1855, 0.1855, 0.1855], [0.4268, 0.4268, 0.4268], [0.5926, 0.5926, 0.5926]], "formation_energy_ev_per_atom": -0.1072, "final_energy_ev_per_cell": -11.95, "crystal_system": "trigonal", "dos_ef_per_ev_atom": 1.2164, "spacegroup": "R3m, No. 160", "de_polymorph_mev_per_atom": 140, "total_magnetization_mub_per_cell": 0.4}

***

{"formula": "CaPrIn3", "functional": "GGA-PBE", "state": "relaxed", "lattice": [[7.2911, 0.0000, 0.0000], [-3.6455, 6.3143, 0.0000], [0.0000, 0.0000, 6.7207]], "species": ["Ca", "Ca", "Pr", "Pr", "In", "In", "In", "In", "In", "In"], "fractional_positions": [[0.0000, 0.0000, 0.0000], [0.0000, 0.0000, 0.5000], [0.3333, 0.6667, 0.2500], [0.6667, 0.3333, 0.7500], [0.2021, 0.4043, 0.7500], [0.2021, 0.7979, 0.7500], [0.4043, 0.2021, 0.2500], [0.5957, 0.7979, 0.7500], [0.7979, 0.2021, 0.2500], [0.7979, 0.5957, 0.2500]], "formation_energy_ev_per_atom": -0.2111, "final_energy_ev_per_cell": -32.10, "crystal_system": "hexagonal", "dos_ef_per_ev_atom": 0.6395, "spacegroup": "P6_3/mmc, No. 194", "total_magnetization_mub_per_cell": 0.0}

***

{"formula": "CaPrIn", "functional": "GGA-PBE", "state": "relaxed", "lattice": [[5.3999, 0.0000, 0.0000], [-2.6999, 4.6764, 0.0000], [0.0000, 0.0000, 3.7723]], "species": ["Ca", "Pr", "In"], "fractional_positions": [[0.0000, 0.0000, 0.0000], [0.3333, 0.6667, 0.5662], [0.6667, 0.3333, 0.2493]], "formation_energy_ev_per_atom": -0.2403, "final_energy_ev_per_cell": -10.24, "crystal_system": "trigonal", "dos_ef_per_ev_atom": 0.8743, "spacegroup": "P3m1, No. 156", "de_polymorph_mev_per_atom": 191, "total_magnetization_mub_per_cell": 0.0}

***

{"formula": "Ca3PrIn4", "functional": "GGA-PBE", "state": "relaxed", "lattice": [[2.7342, 1.5786, 8.9645], [-2.7342, 1.5786, 8.9645], [0.0000, -3.1572, 8.9645]], "species": ["Ca", "Ca", "Ca", "Pr", "In", "In", "In", "In"], "fractional_positions": [[0.0000, 0.0000, 0.0000], [0.2515, 0.2515, 0.2515], [0.7485, 0.7485, 0.7485], [0.5000, 0.5000, 0.5000], [0.1246, 0.1246, 0.1246], [0.3751, 0.3751, 0.3751], [0.6249, 0.6249, 0.6249], [0.8754, 0.8754, 0.8754]], "formation_energy_ev_per_atom": -0.4741, "final_energy_ev_per_cell": -25.53, "crystal_system": "trigonal", "dos_ef_per_ev_atom": 0.6395, "spacegroup": "R-3m, No. 166", "total_magnetization_mub_per_cell": 0.0}

***

{"formula": "Ca2PrIn2", "functional": "GGA-PBE", "state": "relaxed", "lattice": [[6.8960, 0.0000, 0.0000], [0.0000, 5.3825, 0.0000], [0.0000, 0.0000, 16.5809]], "species": ["Ca", "Ca", "Ca", "Ca", "Ca", "Ca", "Ca", "Ca", "Pr", "Pr", "Pr", "Pr", "In", "In", "In", "In", "In", "In", "In", "In"], "fractional_positions": [[0.0271, 0.2500, 0.1438], [0.1928, 0.2500, 0.7317], [0.3072, 0.7500, 0.2317], [0.4729, 0.7500, 0.6438], [0.5271, 0.2500, 0.3562], [0.6928, 0.2500, 0.7683], [0.8072, 0.7500, 0.2683], [0.9729, 0.7500, 0.8562], [0.1474, 0.7500, 0.4514], [0.3526, 0.2500, 0.9514], [0.6474, 0.7500, 0.0486], [0.8526, 0.2500, 0.5486], [0.0495, 0.2500, 0.3418], [0.1331, 0.7500, 0.0438], [0.3669, 0.2500, 0.5438], [0.4505, 0.7500, 0.8418], [0.5495, 0.2500, 0.1582], [0.6331, 0.7500, 0.4562], [0.8669, 0.2500, 0.9562], [0.9505, 0.7500, 0.6582]], "formation_energy_ev_per_atom": -0.4064, "final_energy_ev_per_cell": -65.17, "crystal_system": "orthorhombic", "dos_ef_per_ev_atom": 0.7273, "spacegroup": "Pnma, No. 62", "total_magnetization_mub_per_cell": 0.0}

***

{"formula": "CaPrIn4", "functional": "GGA-PBE", "state": "relaxed", "lattice": [[-2.5070, 3.7240, 4.4057], [2.5070, -3.7240, 4.4057], [2.5070, 3.7240, -4.4057]], "species": ["Ca", "Pr", "In", "In", "In", "In"], "fractional_positions": [[0.0000, 0.0000, 0.0000], [0.5000, 0.0000, 0.5000], [0.0534, 0.3330, 0.7204], [0.3874, 0.6670, 0.7204], [0.6126, 0.3330, 0.2796], [0.9466, 0.6670, 0.2796]], "formation_energy_ev_per_atom": -0.4242, "final_energy_ev_per_cell": -20.28, "crystal_system": "orthorhombic", "dos_ef_per_ev_atom": 0.5928, "spacegroup": "Immm, No. 71", "de_polymorph_mev_per_atom": 0, "total_magnetization_mub_per_cell": 0.0}